PBE CoOs3, relaxed; total DFT energy (no corrections) = -10.00 eV per atom; total magnetic moment = 1.50 μB/f.u.; volume = 54.79 Å³ per cell; calculated formation energy = 0.20 eV/atom
1.0
1.3539 0.7817 8.6288
-1.3539 0.7817 8.6288
0.0000 -1.5634 8.6288
Co Os
1 3
Direct
0.0000 0.0000 0.0000
0.2518 0.2518 0.2518
0.5000 0.5000 0.5000
0.7482 0.7482 0.7482

---

PBE Tb2EuO, relaxed; total DFT energy (no corrections) = -6.87 eV per atom; polymorph energy (0 for the lowest one) = 0.4649 eV per atom; total magnetic moment = 7.20 μB/f.u.; energy relative to the elements, uncorrected = -0.74 eV/atom; volume = 93.51 Å³ per cell
1.0
3.1755 0.0000 0.0000
0.0000 3.1755 0.0000
0.0000 0.0000 9.2730
Tb Eu O
2 1 1
Direct
0.0000 0.0000 0.1654
0.0000 0.0000 0.8346
0.5000 0.5000 0.5000
0.5000 0.5000 0.0000

---

PBE PmY3Al8, relaxed; total DFT energy (no corrections) = -5.02 eV per atom; polymorph energy (0 for the lowest one) = 0.0095 eV per atom; total magnetic moment = 0.00 μB/f.u.; volume = 247.52 Å³ per cell; calculated formation energy = -0.51 eV/atom
1.0
5.5746 0.0000 0.0000
-2.7873 4.8277 0.0000
0.0000 0.0000 9.1973
Pm Y Al
1 3 8
Direct
0.0000 0.0000 0.0000
0.0000 0.0000 0.3638
0.6667 0.3333 0.4988
0.6667 0.3333 0.8633
0.1623 0.3246 0.6803
0.1623 0.8377 0.6803
0.3333 0.6667 0.4332
0.3333 0.6667 0.9309
0.5044 0.0087 0.1841
0.5044 0.4956 0.1841
0.6754 0.8377 0.6803
0.9913 0.4956 0.1841

---

PBE Ca2Ac5Pr2, relaxed; total DFT energy (no corrections) = -3.59 eV per atom; polymorph energy (0 for the lowest one) = 0.1127 eV per atom; total magnetic moment = 0.00 μB/f.u.; volume = 815.10 Å³ per cell; calculated formation energy = 0.20 eV/atom
1.0
11.5247 -4.1802 0.0000
11.5247 4.1802 0.0000
0.0000 0.0000 8.4596
Ca Ac Pr
4 10 4
Direct
0.2369 0.2369 0.0000
0.2631 0.2631 0.5000
0.7369 0.7369 0.5000
0.7631 0.7631 0.0000
0.0000 0.0000 0.0000
0.0594 0.6995 0.6790
0.1995 0.5594 0.1790
0.3005 0.9406 0.6790
0.4406 0.8005 0.1790
0.5000 0.5000 0.5000
0.5594 0.1995 0.8210
0.6995 0.0594 0.3210
0.8005 0.4406 0.8210
0.9406 0.3005 0.3210
0.1280 0.8720 0.3692
0.3720 0.6280 0.8692
0.6280 0.3720 0.1308
0.8720 0.1280 0.6308